1.
Compound: PuTaH
Source: the Alexandria database
Functional: GGA-PBE
Structure: relaxed

Lattice parameters (Å, degrees): 2.947 2.947 5.851 104.59 104.59 90.00
Each line ends with the local moment (μB).
Fractional positions:
Ta: 0.921 0.921 0.842  -0.08
Pu: 0.646 0.646 0.292  5.44
H: 0.433 0.433 0.867  0.00

Values from the calculation:
**Symmetry**: No. 107
**Energy above the most stable polymorph in this dataset**: 0.42 eV/f.u.



2.
Compound: KTl2In2Te4
Source: the Alexandria database
Functional: GGA-PBE
Structure: relaxed

Lattice parameters (Å, degrees): 4.999 9.469 8.239 107.55 90.00 105.31
Fractional positions:
Te: 0.465 0.929 0.272
Te: 0.535 0.071 0.728
Te: 0.213 0.426 0.197
Te: 0.787 0.574 0.803
In: 0.675 0.351 0.001
In: 0.325 0.649 0.999
Tl: 0.886 0.773 0.447
Tl: 0.114 0.227 0.553
K: 0.000 0.000 0.000

Values from the calculation:
**Energy relative to the elements, uncorrected**: -41 kJ per mole of atoms
**Symmetry**: No. 12



| no. | D(E_F) (states/eV/f.u.) | calculated total energy (eV per atom) |
| --- | --- | --- |
| 1 | 5.0 | -9.568 |
| 2 | 1.0 | -3.073 |